<one>
This record from the Alexandria database describes a geometry-optimized KMn2Os structure. The functional is GGA-PBE.

Values from the calculation:
Crystal system: orthorhombic
SG: No. 47
Spin magnetization in μB per formula unit: 7.175
Density in g/cm³: 6.9

a = 3.073 Å, b = 3.057 Å, c = 8.716 Å
α = 90.00°, β = 90.00°, γ = 90.00°
Last column: magnetic moment on the atom in μB.
Sites, in units of the cell vectors:
1 K 0.500 0.500 0.750  -0.03
2 Mn 0.000 0.000 0.087  3.43
3 Mn 0.000 0.000 0.413  3.43
4 Os 0.500 0.500 0.250  0.00



<two>
This record from the Alexandria database describes a geometry-optimized KMn2Os structure. The functional is GGA-PBE.

Values from the calculation:
Crystal system: orthorhombic
SG: No. 65
Spin magnetization in μB per formula unit: 7.677
Density in g/cm³: 8.2

a = 5.051 Å, b = 5.051 Å, c = 2.701 Å
α = 90.00°, β = 90.00°, γ = 90.26°
Last column: magnetic moment on the atom in μB.
Sites, in units of the cell vectors:
1 K 0.000 0.500 0.500  0.02
2 Mn 0.000 0.000 0.000  3.55
3 Mn 0.500 0.500 0.000  3.55
4 Os 0.500 0.000 0.500  0.12



<three>
This record from the Alexandria database describes a geometry-optimized KMn2Os structure. The functional is GGA-PBE.

Values from the calculation:
Crystal system: tetragonal
SG: No. 99
Spin magnetization in μB per formula unit: 5.767
Density in g/cm³: 7.6

a = 2.907 Å, b = 2.907 Å, c = 8.750 Å
α = 90.00°, β = 90.00°, γ = 90.06°
Last column: magnetic moment on the atom in μB.
Sites, in units of the cell vectors:
1 K 0.500 0.500 0.735  0.04
2 Mn 0.000 0.000 0.082  3.56
3 Mn 0.500 0.500 0.264  1.62
4 Os 0.000 0.000 0.420  0.06



<one> wins, 0.052 eV/atom ahead of the next structure.